1.
Density functional theory data (GGA-PBE) for an optimized crystal structure of Sc4GaAuN2.

Space-group type: No. 187
Energy, eV per atom: -7.25

Lattice parameters (Å, degrees): 3.2242 3.2242 14.0564 90.00 90.00 120.00
With the nearest neighbours (Å) after each atom.
Element x y z (fractional)
Au 0.6667 0.3333 0.0000  6 Sc 2.93, 6 Au 3.22
Ga 0.0000 0.0000 0.5000  6 Sc 2.95, 6 Ga 3.22
N 0.3333 0.6667 0.2518  6 Sc 2.21-2.26
N 0.3333 0.6667 0.7482  6 Sc 2.21-2.26
Sc 0.0000 0.0000 0.1607  3 N 2.26
Sc 0.6667 0.3333 0.3370  3 N 2.21
Sc 0.6667 0.3333 0.6630  3 N 2.21
Sc 0.0000 0.0000 0.8393  3 N 2.26

2.
Density functional theory data (GGA-PBE) for an optimized crystal structure of AlNiMo2.

Space-group type: No. 216
Energy, eV per atom: -7.79

Lattice parameters (Å, degrees): 4.3277 4.3277 4.3277 60.00 60.00 60.00
With the nearest neighbours (Å) after each atom.
Element x y z (fractional)
Al 0.5000 0.5000 0.5000  4 Mo 2.65, 4 Ni 2.65
Mo 0.0000 0.0000 0.0000  4 Mo 2.65, 4 Ni 2.65
Mo 0.7500 0.7500 0.7500  4 Mo 2.65, 4 Al 2.65
Ni 0.2500 0.2500 0.2500  4 Mo 2.65, 4 Al 2.65

3.
Density functional theory data (GGA-PBE) for an optimized crystal structure of LaPdNO.

Relative energy among the computed polymorphs, eV/atom: 0.0770
Space-group type: No. 26
Energy, eV per atom: -7.05

Lattice parameters (Å, degrees): 4.5850 4.3171 7.4555 90.00 90.00 90.00
With the nearest neighbours (Å) after each atom.
Element x y z (fractional)
La 0.5000 0.9425 0.2034  3 O 2.25-2.38, 2 N 2.49
La 0.5000 0.4425 0.7966  3 O 2.25-2.38, 2 N 2.49
N 0.0000 0.9299 0.3351  2 Pd 2.00-2.17
N 0.0000 0.4299 0.6649  2 Pd 2.00-2.17
O 0.5000 0.4426 0.1165  3 La 2.25-2.38
O 0.5000 0.9426 0.8835  3 La 2.25-2.38
Pd 0.0000 0.4390 0.3965  2 N 2.00-2.17
Pd 0.0000 0.9390 0.6035  2 N 2.00-2.17

4.
Density functional theory data (GGA-PBE) for an optimized crystal structure of NdAgSO.

Space-group type: No. 14
Energy, eV per atom: -5.89

Lattice parameters (Å, degrees): 5.9792 7.2998 6.7322 90.00 99.45 90.00
With the nearest neighbours (Å) after each atom.
Element x y z (fractional)
Ag 0.0762 0.7048 0.0170  1 O 2.38, 2 S 2.57-2.59
Ag 0.9238 0.2048 0.4830  1 O 2.38, 2 S 2.57-2.59
Ag 0.0762 0.7952 0.5170  1 O 2.38, 2 S 2.57-2.59
Ag 0.9238 0.2952 0.9830  1 O 2.38, 2 S 2.57-2.59
Nd 0.6149 0.5946 0.2469  3 O 2.29-2.37
Nd 0.3851 0.0946 0.2531  3 O 2.29-2.37
Nd 0.6149 0.9054 0.7469  3 O 2.29-2.37
Nd 0.3851 0.4054 0.7531  3 O 2.29-2.37
O 0.5539 0.3141 0.0682  3 Nd 2.29-2.37, 1 Ag 2.38
O 0.4461 0.8141 0.4318  3 Nd 2.29-2.37, 1 Ag 2.38
O 0.5539 0.1859 0.5683  3 Nd 2.29-2.37, 1 Ag 2.38
O 0.4461 0.6859 0.9318  3 Nd 2.29-2.37, 1 Ag 2.38
S 0.8522 0.9382 0.1925  3 Ag 2.57-2.74
S 0.1478 0.4382 0.3075  3 Ag 2.57-2.74
S 0.8522 0.5618 0.6925  3 Ag 2.57-2.74
S 0.1478 0.0618 0.8075  3 Ag 2.57-2.74

Q: Among the records above, which one has the lowest energy?
A: AlNiMo2

Please write out number 3 again, unchanged.
Density functional theory data (GGA-PBE) for an optimized crystal structure of LaPdNO.

Relative energy among the computed polymorphs, eV/atom: 0.0770
Space-group type: No. 26
Energy, eV per atom: -7.05

Lattice parameters (Å, degrees): 4.5850 4.3171 7.4555 90.00 90.00 90.00
With the nearest neighbours (Å) after each atom.
Element x y z (fractional)
La 0.5000 0.9425 0.2034  3 O 2.25-2.38, 2 N 2.49
La 0.5000 0.4425 0.7966  3 O 2.25-2.38, 2 N 2.49
N 0.0000 0.9299 0.3351  2 Pd 2.00-2.17
N 0.0000 0.4299 0.6649  2 Pd 2.00-2.17
O 0.5000 0.4426 0.1165  3 La 2.25-2.38
O 0.5000 0.9426 0.8835  3 La 2.25-2.38
Pd 0.0000 0.4390 0.3965  2 N 2.00-2.17
Pd 0.0000 0.9390 0.6035  2 N 2.00-2.17

Q: Among the records above, which one has the highest energy?
A: NdAgSO

Q: The lowest energy belongs to which entry?
A: AlNiMo2